PBE Pm7Y2Mg2, relaxed; E above lowest polymorph = 0.00 eV/f.u.; formation energy from the elements = 0.1187 eV per atom; total energy = -4.37 eV/atom; D(E_F) = 14.20 states/eV per cell; space-group type = Imm2, No. 44
1.0
3.5951 0.0000 0.0000
1.7976 10.5881 -0.3897
1.7976 4.6772 9.5071
Pm Y Mg
7 2 2
Direct
0.5000 0.0341 0.9659 Pm
0.8254 0.0140 0.3353 Pm
0.1580 0.1761 0.5080 Pm
0.3903 0.7000 0.5193 Pm
0.8420 0.4920 0.8239 Pm
0.1746 0.6647 0.9860 Pm
0.6097 0.4807 0.3000 Pm
0.2846 0.3021 0.1286 Y
0.7154 0.8714 0.6979 Y
0.5000 0.3361 0.6639 Mg
0.0000 0.7826 0.2174 Mg


PBE Pm2YMg5, relaxed; formation energy from the elements = -0.0844 eV per atom; total energy = -3.08 eV/atom; D(E_F) = 7.98 states/eV per cell; space-group type = I4/mmm, No. 139
1.0
-2.3883 3.1443 3.4614
-0.2559 -3.9688 3.4286
8.2783 2.4841 -0.5274
Mg Y Pm
5 1 2
Direct
0.6159 0.1159 0.2318 Mg
0.8841 0.3841 0.7682 Mg
0.5000 0.5000 0.0000 Mg
0.3841 0.8841 0.7682 Mg
0.1159 0.6159 0.2318 Mg
0.0000 0.0000 0.0000 Y
0.2590 0.2590 0.5180 Pm
0.7410 0.7410 0.4820 Pm


PBE Pm9YMg2, relaxed; formation energy from the elements = 0.0055 eV per atom; total energy = -4.36 eV/atom; D(E_F) = 18.69 states/eV per cell; space-group type = P4/mmm, No. 123
1.0
-3.9423 -2.6591 1.6772
0.8987 -3.5310 -3.4858
9.0942 -7.3244 9.7641
Mg Pm Y
2 9 1
Direct
0.0000 0.0000 0.6627 Mg
0.0000 0.0000 0.3373 Mg
0.5000 0.0000 0.8293 Pm
0.5000 0.5000 0.6636 Pm
0.0000 0.5000 0.1707 Pm
0.0000 0.5000 0.8293 Pm
0.5000 0.0000 0.1707 Pm
0.5000 0.0000 0.5000 Pm
0.5000 0.5000 0.3364 Pm
0.0000 0.5000 0.5000 Pm
0.5000 0.5000 0.0000 Pm
0.0000 0.0000 0.0000 Y


PBE PmY2Mg3, relaxed; formation energy from the elements = -0.1062 eV per atom; total energy = -3.85 eV/atom; D(E_F) = 8.25 states/eV per cell; space-group type = P4/mmm, No. 123
1.0
3.8179 0.0000 0.0000
0.0000 3.8179 0.0000
0.0000 0.0000 11.4894
Y Mg Pm
2 3 1
Direct
0.5000 0.5000 0.8354 Y
0.5000 0.5000 0.1646 Y
0.0000 0.0000 0.0000 Mg
0.0000 0.0000 0.3279 Mg
0.0000 0.0000 0.6721 Mg
0.5000 0.5000 0.5000 Pm


Calculated total magnetic moment in order - 0.2, 0.0, 0.0, 0.0 μB per cell